A relaxed structure of ZnNF2. Source: Alexandria, functional PBE-GGA.

Cell lengths 9.7154, 3.1160, 8.4931 Å; angles 90.00, 106.64, 90.00 degrees
Space group C2/m (No. 12)
Asymmetric unit:
Zn 0.2440 0.0000 0.1621
N 0.0411 0.5000 0.5608
F 0.1398 0.0000 0.9137
F 0.1790 0.5000 0.2620

Computed properties:
Energy relative to the elements, uncorrected ... -1.6254 eV per atom
Magnetic moment ... 0.0 μB per formula unit
Crystal system ... monoclinic

A relaxed structure of ZnN2F2. Source: Alexandria, functional PBE-GGA.

Cell lengths 2.5168, 2.5168, 17.8157 Å; angles 90.00, 90.00, 90.00 degrees
Space group I4/mmm (No. 139)
Asymmetric unit:
Zn 0.0000 0.0000 0.0000
N 0.0000 0.5000 0.2500
F 0.0000 0.0000 0.4326

Computed properties:
Energy relative to the elements, uncorrected ... 0.2372 eV per atom
Magnetic moment ... 0.0 μB per formula unit
Crystal system ... tetragonal

A relaxed structure of ZnNF3. Source: Alexandria, functional PBE-GGA.

Cell lengths 3.8495, 3.8495, 3.8495 Å; angles 90.00, 90.00, 90.00 degrees
Space group Pm-3m (No. 221)
Asymmetric unit:
Zn 0.0000 0.0000 0.0000
N 0.5000 0.5000 0.5000
F 0.0000 0.5000 0.5000

Computed properties:
Energy relative to the elements, uncorrected ... 0.1857 eV per atom
Magnetic moment ... 0.8 μB per formula unit
Crystal system ... cubic

A relaxed structure of Zn2NF. Source: Alexandria, functional PBE-GGA.

Cell lengths 3.5491, 3.5491, 17.9094 Å; angles 90.00, 90.00, 120.00 degrees
Space group R-3m (No. 166, hexagonal axes)
Asymmetric unit:
Zn 0.0000 0.0000 0.1021
N 0.0000 0.0000 0.0000
F 0.0000 0.0000 0.5000

Computed properties:
Energy relative to the elements, uncorrected ... 0.2053 eV per atom
Magnetic moment ... 1.1 μB per formula unit
Crystal system ... trigonal

A relaxed structure of ZnNF2. Source: Alexandria, functional PBE-GGA.

Cell lengths 3.4356, 3.4356, 24.0083 Å; angles 90.00, 90.00, 120.00 degrees
Space group R-3m (No. 166, hexagonal axes)
Asymmetric unit:
Zn 0.0000 0.0000 0.0000
N 0.0000 0.0000 0.5000
F 0.0000 0.0000 0.0718

Computed properties:
Energy relative to the elements, uncorrected ... 0.2003 eV per atom
Magnetic moment ... 3.0 μB per formula unit
Crystal system ... trigonal

A relaxed structure of ZnN2F2. Source: Alexandria, functional PBE-GGA.

Cell lengths 4.5813, 4.5813, 5.2341 Å; angles 90.00, 90.00, 90.00 degrees
Space group I4/mmm (No. 139)
Asymmetric unit:
Zn 0.0000 0.0000 0.0000
N 0.0000 0.0000 0.3938
F 0.0000 0.5000 0.2500

Computed properties:
Energy relative to the elements, uncorrected ... -0.6471 eV per atom
Magnetic moment ... 0.0 μB per formula unit
Crystal system ... tetragonal

A relaxed structure of Zn2NF. Source: Alexandria, functional PBE-GGA.

Cell lengths 5.4801, 5.4801, 5.4801 Å; angles 90.00, 90.00, 90.00 degrees
Space group Fm-3m (No. 225)
Asymmetric unit:
Zn 0.2500 0.2500 0.2500
N 0.0000 0.0000 0.0000
F 0.0000 0.0000 0.5000

Computed properties:
Energy relative to the elements, uncorrected ... -0.2271 eV per atom
Magnetic moment ... 0.0 μB per formula unit
Crystal system ... cubic

A relaxed structure of Zn2NF2. Source: Alexandria, functional PBE-GGA.

Cell lengths 6.4899, 6.4899, 2.6596 Å; angles 90.00, 90.00, 90.00 degrees
Space group P4/mbm (No. 127)
Asymmetric unit:
Zn 0.2049 0.2951 0.0000
N 0.0000 0.0000 0.5000
F 0.1216 0.6216 0.5000

Computed properties:
Energy relative to the elements, uncorrected ... -0.1753 eV per atom
Magnetic moment ... 0.5 μB per formula unit
Crystal system ... tetragonal

A relaxed structure of Zn3NF2. Source: Alexandria, functional PBE-GGA.

Cell lengths 11.0153, 6.0769, 6.0170 Å; angles 90.00, 90.00, 90.00 degrees
Space group Cmc2_1 (No. 36)
Asymmetric unit:
Zn 0.0000 0.0073 0.0000
Zn 0.1568 0.3423 0.2696
N 0.0000 0.1867 0.2549
F 0.2085 0.3680 0.6155

Computed properties:
Energy relative to the elements, uncorrected ... -0.9502 eV per atom
Magnetic moment ... 0.0 μB per formula unit
Crystal system ... orthorhombic

A relaxed structure of ZnN2F2. Source: Alexandria, functional PBE-GGA.

Cell lengths 5.0095, 5.0095, 5.5393 Å; angles 90.00, 90.00, 90.00 degrees
Space group P4/mbm (No. 127)
Asymmetric unit:
Zn 0.0000 0.0000 0.0000
N 0.2482 0.2518 0.5000
F 0.1674 0.6674 0.0000

Computed properties:
Energy relative to the elements, uncorrected ... 0.9742 eV per atom
Magnetic moment ... 2.8 μB per formula unit
Crystal system ... tetragonal

A relaxed structure of ZnNF3. Source: Alexandria, functional PBE-GGA.

Cell lengths 4.0101, 5.6960, 7.5244 Å; angles 103.85, 98.15, 109.56 degrees
Space group P-1 (No. 2)
Asymmetric unit:
Zn 0.1187 0.2490 0.4541
N 0.0741 0.3011 0.1439
F 0.1125 0.1301 0.6827
F 0.2406 0.7443 0.9687
F 0.3415 0.6564 0.5612

Computed properties:
Energy relative to the elements, uncorrected ... -0.8770 eV per atom
Magnetic moment ... 2.0 μB per formula unit
Crystal system ... triclinic

A relaxed structure of ZrN2F. Source: Alexandria, functional PBE-GGA.

Cell lengths 5.4868, 5.4868, 5.4868 Å; angles 90.00, 90.00, 90.00 degrees
Space group Fm-3m (No. 225)
Asymmetric unit:
Zr 0.0000 0.0000 0.0000
N 0.2500 0.2500 0.2500
F 0.0000 0.0000 0.5000

Computed properties:
Energy relative to the elements, uncorrected ... 0.0270 eV per atom
Magnetic moment ... 2.9 μB per formula unit
Crystal system ... cubic

A relaxed structure of ZrNF2. Source: Alexandria, functional PBE-GGA.

Cell lengths 5.4595, 5.4595, 5.4595 Å; angles 90.00, 90.00, 90.00 degrees
Space group Fm-3m (No. 225)
Asymmetric unit:
Zr 0.0000 0.0000 0.0000
N 0.0000 0.0000 0.5000
F 0.2500 0.2500 0.2500

Computed properties:
Energy relative to the elements, uncorrected ... -1.2872 eV per atom
Magnetic moment ... 1.0 μB per formula unit
Crystal system ... cubic

A relaxed structure of ZrNF3. Source: Alexandria, functional PBE-GGA.

Cell lengths 3.9514, 3.9514, 3.9514 Å; angles 90.00, 90.00, 90.00 degrees
Space group Pm-3m (No. 221)
Asymmetric unit:
Zr 0.0000 0.0000 0.0000
N 0.5000 0.5000 0.5000
F 0.0000 0.5000 0.5000

Computed properties:
Energy relative to the elements, uncorrected ... -0.0679 eV per atom
Magnetic moment ... 1.4 μB per formula unit
Crystal system ... cubic

A relaxed structure of ZrN3F. Source: Alexandria, functional PBE-GGA.

Cell lengths 4.2867, 4.2867, 4.2867 Å; angles 90.00, 90.00, 90.00 degrees
Space group Pm-3m (No. 221)
Asymmetric unit:
Zr 0.0000 0.0000 0.0000
N 0.0000 0.0000 0.5000
F 0.5000 0.5000 0.5000

Computed properties:
Energy relative to the elements, uncorrected ... 1.1505 eV per atom
Magnetic moment ... 6.0 μB per formula unit
Crystal system ... cubic

A relaxed structure of ZrNF2. Source: Alexandria, functional PBE-GGA.

Cell lengths 3.0356, 3.0356, 27.1038 Å; angles 90.00, 90.00, 120.00 degrees
Space group R-3m (No. 166, hexagonal axes)
Asymmetric unit:
Zr 0.0000 0.0000 0.0000
N 0.0000 0.0000 0.5000
F 0.0000 0.0000 0.3877

Computed properties:
Energy relative to the elements, uncorrected ... -0.7189 eV per atom
Magnetic moment ... 3.0 μB per formula unit
Crystal system ... trigonal

A relaxed structure of ZrN2F. Source: Alexandria, functional PBE-GGA.

Cell lengths 3.4405, 3.4405, 16.6867 Å; angles 90.00, 90.00, 120.00 degrees
Space group R-3m (No. 166, hexagonal axes)
Asymmetric unit:
Zr 0.0000 0.0000 0.0000
N 0.0000 0.0000 0.3921
F 0.0000 0.0000 0.5000

Computed properties:
Energy relative to the elements, uncorrected ... -0.2100 eV per atom
Magnetic moment ... 0.0 μB per formula unit
Crystal system ... trigonal

A relaxed structure of ZrNF3. Source: Alexandria, functional PBE-GGA.

Cell lengths 4.2082, 4.2082, 4.2082 Å; angles 90.00, 90.00, 90.00 degrees
Space group Pm-3m (No. 221)
Asymmetric unit:
Zr 0.0000 0.0000 0.0000
N 0.5000 0.5000 0.5000
F 0.0000 0.0000 0.5000

Computed properties:
Energy relative to the elements, uncorrected ... -1.6868 eV per atom
Magnetic moment ... 2.0 μB per formula unit
Crystal system ... cubic

A relaxed structure of ZrN2F. Source: Alexandria, functional PBE-GGA.

Cell lengths 3.4035, 3.4035, 15.8769 Å; angles 90.00, 90.00, 90.00 degrees
Space group I-42d (No. 122)
Asymmetric unit:
Zr 0.0000 0.0000 0.0000
N 0.0605 0.2500 0.1250
F 0.0000 0.0000 0.5000

Computed properties:
Energy relative to the elements, uncorrected ... -0.5248 eV per atom
Magnetic moment ... 0.0 μB per formula unit
Crystal system ... tetragonal

A relaxed structure of NaF3. Source: Alexandria, functional PBE-GGA.

Cell lengths 5.7164, 5.7164, 5.7164 Å; angles 90.00, 90.00, 90.00 degrees
Space group Fm-3m (No. 225)
Asymmetric unit:
Na 0.0000 0.0000 0.0000
F 0.0000 0.0000 0.5000
F 0.2500 0.2500 0.2500

Computed properties:
Energy relative to the elements, uncorrected ... -1.0953 eV per atom
Magnetic moment ... 2.0 μB per formula unit
Crystal system ... cubic

A relaxed structure of NaF3. Source: Alexandria, functional PBE-GGA.

Cell lengths 3.5772, 3.5772, 16.2943 Å; angles 90.00, 90.00, 120.00 degrees
Space group R-3m (No. 166, hexagonal axes)
Asymmetric unit:
Na 0.0000 0.0000 0.0000
F 0.0000 0.0000 0.3948
F 0.0000 0.0000 0.5000

Computed properties:
Energy relative to the elements, uncorrected ... -1.4079 eV per atom
Magnetic moment ... 0.0 μB per formula unit
Crystal system ... trigonal

A relaxed structure of NaF6. Source: Alexandria, functional PBE-GGA.

Cell lengths 6.1230, 6.1230, 6.1230 Å; angles 90.00, 90.00, 90.00 degrees
Space group Im-3m (No. 229)
Asymmetric unit:
Na 0.0000 0.0000 0.0000
F 0.0000 0.2500 0.5000

Computed properties:
Energy relative to the elements, uncorrected ... -0.2919 eV per atom
Magnetic moment ... 5.0 μB per formula unit
Crystal system ... cubic

A relaxed structure of NaF3. Source: Alexandria, functional PBE-GGA.

Cell lengths 3.2809, 3.2809, 8.7684 Å; angles 90.00, 90.00, 90.00 degrees
Space group I4/mmm (No. 139)
Asymmetric unit:
Na 0.0000 0.0000 0.0000
F 0.0000 0.0000 0.5000
F 0.0000 0.5000 0.2500

Computed properties:
Energy relative to the elements, uncorrected ... -1.1478 eV per atom
Magnetic moment ... 2.0 μB per formula unit
Crystal system ... tetragonal

A relaxed structure of NaF8. Source: Alexandria, functional PBE-GGA.

Cell lengths 8.2149, 8.2149, 4.6653 Å; angles 90.00, 90.00, 90.00 degrees
Space group I4/mmm (No. 139)
Asymmetric unit:
Na 0.0000 0.0000 0.0000
F 0.0000 0.4134 0.0000
F 0.1269 0.1269 0.5000

Computed properties:
Energy relative to the elements, uncorrected ... -0.3541 eV per atom
Magnetic moment ... 3.0 μB per formula unit
Crystal system ... tetragonal

A relaxed structure of NaF3. Source: Alexandria, functional PBE-GGA.

Cell lengths 3.2738, 4.6490, 3.2762 Å; angles 90.00, 90.00, 90.00 degrees
Space group Pmm2 (No. 25)
Asymmetric unit:
Na 0.0000 0.0000 0.0000
F 0.0000 0.5000 0.0012
F 0.5000 0.0000 0.5001
F 0.5000 0.5000 0.5039

Computed properties:
Energy relative to the elements, uncorrected ... -1.1910 eV per atom
Magnetic moment ... 2.0 μB per formula unit
Crystal system ... orthorhombic

A relaxed structure of Na4F. Source: Alexandria, functional PBE-GGA.

Cell lengths 5.0643, 5.0643, 5.0643 Å; angles 90.00, 90.00, 90.00 degrees
Space group Pm-3m (No. 221)
Asymmetric unit:
Na 0.0000 0.0000 0.0000
Na 0.0000 0.5000 0.5000
F 0.5000 0.5000 0.5000

Computed properties:
Energy relative to the elements, uncorrected ... -0.9333 eV per atom
Magnetic moment ... 0.0 μB per formula unit
Crystal system ... cubic

A relaxed structure of NaF4. Source: Alexandria, functional PBE-GGA.

Cell lengths 4.3962, 4.3962, 4.3962 Å; angles 90.00, 90.00, 90.00 degrees
Space group Pm-3m (No. 221)
Asymmetric unit:
Na 0.0000 0.0000 0.0000
F 0.0000 0.0000 0.5000
F 0.5000 0.5000 0.5000

Computed properties:
Energy relative to the elements, uncorrected ... -0.5782 eV per atom
Magnetic moment ... 3.0 μB per formula unit
Crystal system ... cubic